The following is a DFT calculation (PBE) of a geometry-optimized Ac3NdS structure.

Cell: 5.851 5.851 5.851 Å, 90.00 90.00 90.00°
Positions (direct):
S  0.000  0.000  0.000
Nd  0.500  0.500  0.500
Ac  0.000  0.000  0.500
Ac  0.500  0.000  0.000
Ac  0.000  0.500  0.000

Output
DOS at the Fermi energy (states/eV per cell): 5.56
Uncorrected formation energy (meV/atom): -668
E_tot (eV/atom): -4.912